(1)
Density functional theory data (PBE) for CsNaUCl6 after structural relaxation.

Cell: 7.243 7.243 15.242 Å, 90.00 90.00 120.00°
Atoms (fractional coordinates):
Cs  0.000  0.000  0.000
Cs  0.000  0.000  0.500
Na  0.333  0.667  0.250
Na  0.667  0.333  0.750
U  0.333  0.667  0.750
U  0.667  0.333  0.250
Cl  0.024  0.386  0.649
Cl  0.024  0.638  0.851
Cl  0.362  0.386  0.851
Cl  0.362  0.976  0.649
Cl  0.386  0.024  0.149
Cl  0.386  0.362  0.351
Cl  0.614  0.638  0.649
Cl  0.614  0.976  0.851
Cl  0.638  0.024  0.351
Cl  0.638  0.614  0.149
Cl  0.976  0.362  0.149
Cl  0.976  0.614  0.351

- Density of states at the Fermi level: 10.17 states/eV per cell
- Formation energy (no corrections): -16.763 eV per formula unit

(2)
Density functional theory data (PBE) for CsNaVCl6 after structural relaxation.

Cell: 6.919 6.919 7.436 Å, 90.00 90.00 120.00°
Atoms (fractional coordinates):
Cs  0.000  0.000  0.000
Na  0.333  0.667  0.500
V  0.667  0.333  0.500
Cl  0.400  0.053  0.683
Cl  0.400  0.348  0.317
Cl  0.652  0.053  0.317
Cl  0.652  0.600  0.683
Cl  0.947  0.348  0.683
Cl  0.947  0.600  0.317

- Density of states at the Fermi level: 8.10 states/eV per cell
- Formation energy (no corrections): -13.265 eV per formula unit

(3)
Density functional theory data (PBE) for CsNa2VCl6 after structural relaxation.

Cell: 7.692 7.692 7.692 Å, 55.12 55.12 55.12°
Atoms (fractional coordinates):
Cs  0.000  0.000  0.000
Na  0.267  0.267  0.267
Na  0.794  0.794  0.794
V  0.459  0.459  0.459
Cl  0.083  0.590  0.474
Cl  0.258  0.504  0.823
Cl  0.474  0.083  0.590
Cl  0.504  0.823  0.258
Cl  0.590  0.474  0.083
Cl  0.823  0.258  0.504

- Density of states at the Fermi level: 10.32 states/eV per cell
- Formation energy (no corrections): -15.783 eV per formula unit

(4)
Density functional theory data (PBE) for Cs3Na3VCl8 after structural relaxation.

Cell: 8.443 8.443 9.222 Å, 117.28 117.28 59.93°
Atoms (fractional coordinates):
Cs  0.000  0.000  0.000
Cs  0.000  0.500  0.000
Cs  0.500  0.000  0.000
Na  0.000  0.500  0.500
Na  0.500  0.000  0.500
Na  0.500  0.500  0.500
V  0.000  0.000  0.500
Cl  0.206  0.206  0.677
Cl  0.206  0.766  0.677
Cl  0.234  0.794  0.323
Cl  0.269  0.269  0.307
Cl  0.731  0.731  0.693
Cl  0.766  0.206  0.677
Cl  0.794  0.234  0.323
Cl  0.794  0.794  0.323

- Formation energy (no corrections): -25.434 eV per formula unit

(5)
Density functional theory data (PBE) for CsNaWCl6 after structural relaxation.

Cell: 6.986 6.986 7.522 Å, 90.02 90.02 120.06°
Atoms (fractional coordinates):
Cs  0.000  0.000  0.000
Na  0.666  0.334  0.500
W  0.333  0.667  0.500
Cl  0.046  0.393  0.315
Cl  0.047  0.653  0.685
Cl  0.347  0.394  0.685
Cl  0.347  0.953  0.315
Cl  0.606  0.653  0.315
Cl  0.607  0.954  0.685

- Density of states at the Fermi level: 10.54 states/eV per cell
- Formation energy (no corrections): -11.749 eV per formula unit

(6)
Density functional theory data (PBE) for CsNaZnCl4 after structural relaxation.

Cell: 6.833 7.301 9.270 Å, 90.00 108.01 90.00°
Atoms (fractional coordinates):
Cs  0.241  0.250  0.436
Cs  0.759  0.750  0.564
Na  0.300  0.250  0.960
Na  0.700  0.750  0.040
Zn  0.273  0.750  0.171
Zn  0.727  0.250  0.829
Cl  0.040  0.750  0.938
Cl  0.111  0.750  0.353
Cl  0.500  0.007  0.794
Cl  0.500  0.493  0.794
Cl  0.500  0.507  0.206
Cl  0.500  0.993  0.206
Cl  0.889  0.250  0.647
Cl  0.960  0.250  0.062

- Density of states at the Fermi level: 0.00 states/eV per cell
- Formation energy (no corrections): -11.247 eV per formula unit

(7)
Density functional theory data (PBE) for CsNa3Zn4Cl12 after structural relaxation.

Cell: 9.018 9.018 9.018 Å, 105.08 105.08 105.08°
Atoms (fractional coordinates):
Cs  0.000  0.000  0.000
Na  0.000  0.559  0.441
Na  0.441  0.000  0.559
Na  0.559  0.441  0.000
Zn  0.062  0.500  0.938
Zn  0.500  0.500  0.500
Zn  0.500  0.938  0.062
Zn  0.938  0.062  0.500
Cl  0.055  0.649  0.779
Cl  0.092  0.908  0.500
Cl  0.221  0.351  0.945
Cl  0.346  0.654  0.500
Cl  0.351  0.945  0.221
Cl  0.500  0.092  0.908
Cl  0.500  0.346  0.654
Cl  0.649  0.779  0.055
Cl  0.654  0.500  0.346
Cl  0.779  0.055  0.649
Cl  0.908  0.500  0.092
Cl  0.945  0.221  0.351

- Density of states at the Fermi level: 0.00 states/eV per cell
- Formation energy (no corrections): -27.847 eV per formula unit

(8)
Density functional theory data (PBE) for CsNaZrCl6 after structural relaxation.

Cell: 7.120 7.120 14.952 Å, 90.00 90.00 120.00°
Atoms (fractional coordinates):
Cs  0.000  0.000  0.000
Cs  0.000  0.000  0.500
Na  0.333  0.667  0.250
Na  0.667  0.333  0.750
Zr  0.333  0.667  0.750
Zr  0.667  0.333  0.250
Cl  0.036  0.395  0.653
Cl  0.036  0.641  0.847
Cl  0.359  0.395  0.847
Cl  0.359  0.964  0.653
Cl  0.395  0.036  0.153
Cl  0.395  0.359  0.347
Cl  0.605  0.641  0.653
Cl  0.605  0.964  0.847
Cl  0.641  0.036  0.347
Cl  0.641  0.605  0.153
Cl  0.964  0.359  0.153
Cl  0.964  0.605  0.347

- Density of states at the Fermi level: 0.00 states/eV per cell
- Formation energy (no corrections): -17.104 eV per formula unit

(9)
Density functional theory data (PBE) for Cs2NaZrCl6 after structural relaxation.

Cell: 13.459 13.459 13.459 Å, 32.90 32.90 32.90°
Atoms (fractional coordinates):
Cs  0.127  0.127  0.127
Cs  0.290  0.290  0.290
Cs  0.710  0.710  0.710
Cs  0.873  0.873  0.873
Na  0.412  0.412  0.412
Na  0.588  0.588  0.588
Zr  0.000  0.000  0.000
Zr  0.500  0.500  0.500
Cl  0.142  0.621  0.621
Cl  0.197  0.197  0.722
Cl  0.197  0.722  0.197
Cl  0.278  0.803  0.803
Cl  0.379  0.379  0.858
Cl  0.379  0.858  0.379
Cl  0.621  0.142  0.621
Cl  0.621  0.621  0.142
Cl  0.722  0.197  0.197
Cl  0.803  0.278  0.803
Cl  0.803  0.803  0.278
Cl  0.858  0.379  0.379

- Density of states at the Fermi level: 10.33 states/eV per cell
- Formation energy (no corrections): -18.617 eV per formula unit

(10)
Density functional theory data (PBE) for CsNbCl3 after structural relaxation.

Cell: 5.198 7.678 8.785 Å, 69.99 82.50 88.60°
Atoms (fractional coordinates):
Cs  0.188  0.201  0.150
Cs  0.812  0.799  0.850
Nb  0.257  0.560  0.426
Nb  0.743  0.440  0.574
Cl  0.109  0.225  0.551
Cl  0.255  0.744  0.124
Cl  0.355  0.580  0.693
Cl  0.645  0.420  0.307
Cl  0.745  0.256  0.876
Cl  0.891  0.775  0.449

- Density of states at the Fermi level: 3.43 states/eV per cell
- Formation energy (no corrections): -6.389 eV per formula unit

(11)
Density functional theory data (PBE) for Cs2NbCl5 after structural relaxation.

Cell: 9.513 7.307 15.353 Å, 90.00 90.00 90.00°
Atoms (fractional coordinates):
Cs  0.022  0.250  0.211
Cs  0.153  0.750  0.419
Cs  0.347  0.250  0.919
Cs  0.478  0.750  0.711
Cs  0.522  0.250  0.289
Cs  0.653  0.750  0.081
Cs  0.847  0.250  0.581
Cs  0.978  0.750  0.789
Nb  0.161  0.750  0.060
Nb  0.339  0.250  0.560
Nb  0.661  0.750  0.440
Nb  0.839  0.250  0.940
Cl  0.000  0.000  0.000
Cl  0.000  0.500  0.000
Cl  0.019  0.750  0.196
Cl  0.183  0.009  0.617
Cl  0.183  0.491  0.617
Cl  0.207  0.250  0.416
Cl  0.293  0.750  0.916
Cl  0.317  0.509  0.117
Cl  0.317  0.991  0.117
Cl  0.481  0.250  0.696
Cl  0.500  0.000  0.500
Cl  0.500  0.500  0.500
Cl  0.519  0.750  0.304
Cl  0.683  0.009  0.883
Cl  0.683  0.491  0.883
Cl  0.707  0.250  0.084
Cl  0.793  0.750  0.584
Cl  0.817  0.509  0.383
Cl  0.817  0.991  0.383
Cl  0.981  0.250  0.804

- Density of states at the Fermi level: 16.45 states/eV per cell
- Formation energy (no corrections): -12.813 eV per formula unit

(12)
Density functional theory data (PBE) for CsNb3Cl after structural relaxation.

Cell: 5.120 5.120 5.120 Å, 90.00 90.00 90.00°
Atoms (fractional coordinates):
Cs  0.000  0.000  0.000
Nb  0.000  0.000  0.500
Nb  0.000  0.500  0.000
Nb  0.500  0.000  0.000
Cl  0.500  0.500  0.500

- Density of states at the Fermi level: 6.29 states/eV per cell
- Formation energy (no corrections): 14.094 eV per formula unit

(13)
Density functional theory data (PBE) for CsNbCl3 after structural relaxation.

Cell: 5.244 5.244 5.244 Å, 90.00 90.00 90.00°
Atoms (fractional coordinates):
Cs  0.000  0.000  0.000
Nb  0.500  0.500  0.500
Cl  0.000  0.500  0.500
Cl  0.500  0.000  0.500
Cl  0.500  0.500  0.000

- Density of states at the Fermi level: 0.84 states/eV per cell
- Formation energy (no corrections): -5.972 eV per formula unit

(14)
Density functional theory data (PBE) for CsNbCl3 after structural relaxation.

Cell: 6.130 6.130 6.130 Å, 90.00 90.00 90.00°
Atoms (fractional coordinates):
Cs  0.000  0.000  0.000
Nb  0.500  0.500  0.500
Cl  0.000  0.000  0.500
Cl  0.000  0.500  0.000
Cl  0.500  0.000  0.000

- Density of states at the Fermi level: 19.25 states/eV per cell
- Formation energy (no corrections): 2.302 eV per formula unit

(15)
Density functional theory data (PBE) for CsNb2Cl after structural relaxation.

Cell: 10.448 10.448 10.448 Å, 152.75 152.75 38.92°
Atoms (fractional coordinates):
Cs  0.000  0.000  0.000
Cs  0.750  0.250  0.500
Nb  0.365  0.125  0.740
Nb  0.375  0.635  0.760
Nb  0.385  0.625  0.260
Nb  0.875  0.615  0.240
Cl  0.250  0.750  0.500
Cl  0.500  0.500  0.000

- Density of states at the Fermi level: 9.98 states/eV per cell
- Formation energy (no corrections): 3.757 eV per formula unit

(16)
Density functional theory data (PBE) for Cs3NbCl8 after structural relaxation.

Cell: 10.326 10.326 9.616 Å, 90.00 90.00 120.00°
Atoms (fractional coordinates):
Cs  0.153  0.305  0.000
Cs  0.153  0.847  0.000
Cs  0.305  0.153  0.500
Cs  0.695  0.847  0.000
Cs  0.847  0.153  0.500
Cs  0.847  0.695  0.500
Nb  0.333  0.667  0.465
Nb  0.667  0.333  0.965
Cl  0.000  0.000  0.256
Cl  0.000  0.000  0.756
Cl  0.115  0.557  0.324
Cl  0.224  0.449  0.611
Cl  0.224  0.776  0.611
Cl  0.333  0.667  0.969
Cl  0.443  0.557  0.324
Cl  0.443  0.885  0.324
Cl  0.449  0.224  0.111
Cl  0.551  0.776  0.611
Cl  0.557  0.115  0.824
Cl  0.557  0.443  0.824
Cl  0.667  0.333  0.469
Cl  0.776  0.224  0.111
Cl  0.776  0.551  0.111
Cl  0.885  0.443  0.824

- Formation energy (no corrections): -19.402 eV per formula unit

(17)
Density functional theory data (PBE) for CsNbCl4 after structural relaxation.

Cell: 8.520 8.520 6.504 Å, 99.21 99.21 51.75°
Atoms (fractional coordinates):
Cs  0.192  0.192  0.224
Cs  0.808  0.808  0.776
Nb  0.474  0.474  0.696
Nb  0.526  0.526  0.304
Cl  0.199  0.608  0.399
Cl  0.275  0.725  0.000
Cl  0.319  0.319  0.782
Cl  0.392  0.801  0.601
Cl  0.608  0.199  0.399
Cl  0.681  0.681  0.218
Cl  0.725  0.275  0.000
Cl  0.801  0.392  0.601

- Density of states at the Fermi level: 2.70 states/eV per cell
- Formation energy (no corrections): -8.748 eV per formula unit

(18)
Density functional theory data (PBE) for CsNb4Cl7 after structural relaxation.

Cell: 16.354 6.211 5.883 Å, 90.00 90.00 90.00°
Atoms (fractional coordinates):
Cs  0.000  0.193  0.000
Cs  0.500  0.807  0.500
Nb  0.154  0.717  0.644
Nb  0.239  0.395  0.581
Nb  0.261  0.605  0.081
Nb  0.346  0.283  0.144
Nb  0.654  0.283  0.144
Nb  0.739  0.605  0.081
Nb  0.761  0.395  0.581
Nb  0.846  0.717  0.644
Cl  0.000  0.631  0.545
Cl  0.105  0.681  0.035
Cl  0.130  0.117  0.484
Cl  0.211  0.217  0.968
Cl  0.289  0.783  0.468
Cl  0.370  0.883  0.984
Cl  0.395  0.319  0.535
Cl  0.500  0.369  0.045
Cl  0.605  0.319  0.535
Cl  0.630  0.883  0.984
Cl  0.711  0.783  0.468
Cl  0.789  0.217  0.968
Cl  0.870  0.117  0.484
Cl  0.895  0.681  0.035

- Density of states at the Fermi level: 4.74 states/eV per cell
- Formation energy (no corrections): -9.501 eV per formula unit

(19)
Density functional theory data (PBE) for CsNb2Cl after structural relaxation.

Cell: 4.865 4.865 4.865 Å, 60.00 60.00 60.00°
Atoms (fractional coordinates):
Cs  0.000  0.000  0.000
Nb  0.250  0.250  0.250
Nb  0.750  0.750  0.750
Cl  0.500  0.500  0.500

- Density of states at the Fermi level: 7.60 states/eV per cell
- Formation energy (no corrections): 6.834 eV per formula unit

Number 1: calculated total energy -4.589 eV per atom, density 2.9 g cm⁻³. Number 2: calculated total energy -3.960 eV per atom, density 2.3 g cm⁻³. Number 3: calculated total energy -3.947 eV per atom, density 2.6 g cm⁻³. Number 4: calculated total energy -3.723 eV per atom, density 2.8 g cm⁻³. Number 5: calculated total energy -4.217 eV per atom, density 2.9 g cm⁻³. Number 6: calculated total energy -3.154 eV per atom, density 2.7 g cm⁻³. Number 7: calculated total energy -2.996 eV per atom, density 2.3 g cm⁻³. Number 8: calculated total energy -4.323 eV per atom, density 2.3 g cm⁻³. Number 9: calculated total energy -4.127 eV per atom, density 3.1 g cm⁻³. Number 10: calculated total energy -4.571 eV per atom, density 3.4 g cm⁻³. Number 11: calculated total energy -4.228 eV per atom, density 3.3 g cm⁻³. Number 12: calculated total energy -3.763 eV per atom, density 5.5 g cm⁻³. Number 13: calculated total energy -4.487 eV per atom, density 3.8 g cm⁻³. Number 14: calculated total energy -2.832 eV per atom, density 2.4 g cm⁻³. Number 15: calculated total energy -4.771 eV per atom, density 4.9 g cm⁻³. Number 16: calculated total energy -3.900 eV per atom, density 2.9 g cm⁻³. Number 17: calculated total energy -4.510 eV per atom, density 3.3 g cm⁻³. Number 18: calculated total energy -5.297 eV per atom, density 4.2 g cm⁻³. Number 19: calculated total energy -4.002 eV per atom, density 7.2 g cm⁻³.